The following is a PBE-GGA calculation of crystalline CsBa2TaNb at its relaxed geometry, from the Alexandria database.

a = 6.317 Å, b = 6.317 Å, c = 5.292 Å
α = 90.00°, β = 90.00°, γ = 90.00°
Space group P4/mmm (No. 123)
Symmetry-distinct sites (fractional):
Cs1 0.000 0.000 0.000 x1
Ba1 0.000 0.500 0.000 x2
Ta1 0.000 0.000 0.500 x1
Nb1 0.500 0.500 0.500 x1

## Properties
ΔH_f (0 K) = 2.23 eV per atom


The following is a PBE-GGA calculation of crystalline CsBa3Ni at its relaxed geometry, from the Alexandria database.

a = 6.402 Å, b = 6.402 Å, c = 6.402 Å
α = 90.00°, β = 90.00°, γ = 90.00°
Space group Pm-3m (No. 221)
Symmetry-distinct sites (fractional):
Cs1 0.000 0.000 0.000 x1
Ba1 0.000 0.000 0.500 x3
Ni1 0.500 0.500 0.500 x1

## Properties
ΔH_f (0 K) = 1.26 eV per atom
Energy above the lowest structure with this stoichiometry = 1149 meV/atom


The following is a PBE-GGA calculation of crystalline CsBa3Ni at its relaxed geometry, from the Alexandria database.

a = 6.471 Å, b = 6.471 Å, c = 6.471 Å
α = 90.00°, β = 90.00°, γ = 90.00°
Space group Pm-3m (No. 221)
Symmetry-distinct sites (fractional):
Cs1 0.000 0.000 0.000 x1
Ba1 0.000 0.500 0.500 x3
Ni1 0.500 0.500 0.500 x1

## Properties
ΔH_f (0 K) = 0.11 eV per atom
Energy above the lowest structure with this stoichiometry = 0 meV/atom


The following is a PBE-GGA calculation of crystalline CsBaNi3 at its relaxed geometry, from the Alexandria database.

a = 5.098 Å, b = 5.098 Å, c = 5.098 Å
α = 90.00°, β = 90.00°, γ = 90.00°
Space group Pm-3m (No. 221)
Symmetry-distinct sites (fractional):
Cs1 0.000 0.000 0.000 x1
Ba1 0.500 0.500 0.500 x1
Ni1 0.000 0.000 0.500 x3

## Properties
ΔH_f (0 K) = 1.41 eV per atom
Energy above the lowest structure with this stoichiometry = 0 meV/atom


The following is a PBE-GGA calculation of crystalline CsBaNi3 at its relaxed geometry, from the Alexandria database.

a = 5.423 Å, b = 5.423 Å, c = 5.423 Å
α = 90.00°, β = 90.00°, γ = 90.00°
Space group Pm-3m (No. 221)
Symmetry-distinct sites (fractional):
Cs1 0.000 0.000 0.000 x1
Ba1 0.500 0.500 0.500 x1
Ni1 0.000 0.500 0.500 x3

## Properties
ΔH_f (0 K) = 1.43 eV per atom
Energy above the lowest structure with this stoichiometry = 21 meV/atom


The following is a PBE-GGA calculation of crystalline CsBa2Ni4 at its relaxed geometry, from the Alexandria database.

a = 4.937 Å, b = 4.937 Å, c = 16.866 Å
α = 90.00°, β = 90.00°, γ = 90.00°
Space group I4/mmm (No. 139)
Symmetry-distinct sites (fractional):
Cs1 0.000 0.000 0.000 x2
Ba1 0.000 0.000 0.349 x4
Ni1 0.000 0.000 0.160 x4
Ni2 0.000 0.500 0.000 x4

## Properties
ΔH_f (0 K) = 1.12 eV per atom


The following is a PBE-GGA calculation of crystalline CsBaNiPd2 at its relaxed geometry, from the Alexandria database.

a = 5.520 Å, b = 5.520 Å, c = 5.045 Å
α = 90.00°, β = 90.00°, γ = 90.00°
Space group P4/mmm (No. 123)
Symmetry-distinct sites (fractional):
Cs1 0.000 0.000 0.000 x1
Ba1 0.500 0.500 0.500 x1
Ni1 0.000 0.000 0.500 x1
Pd1 0.000 0.500 0.000 x2

## Properties
ΔH_f (0 K) = 0.93 eV per atom


The following is a PBE-GGA calculation of crystalline CsBa2NiSb at its relaxed geometry, from the Alexandria database.

a = 6.642 Å, b = 6.642 Å, c = 7.270 Å
α = 90.00°, β = 90.00°, γ = 90.00°
Space group P4/mmm (No. 123)
Symmetry-distinct sites (fractional):
Cs1 0.000 0.000 0.000 x1
Ba1 0.000 0.500 0.500 x2
Ni1 0.500 0.500 0.000 x1
Sb1 0.000 0.000 0.500 x1

## Properties
Formation energy from raw total energies = 1.4 eV/f.u.


The following is a PBE-GGA calculation of crystalline CsBaSc2Ni at its relaxed geometry, from the Alexandria database.

a = 5.603 Å, b = 5.603 Å, c = 5.135 Å
α = 90.00°, β = 90.00°, γ = 90.00°
Space group P4/mmm (No. 123)
Symmetry-distinct sites (fractional):
Cs1 0.000 0.000 0.000 x1
Ba1 0.500 0.500 0.500 x1
Sc1 0.000 0.500 0.000 x2
Ni1 0.000 0.000 0.500 x1

## Properties
ΔH_f (0 K) = 1.30 eV per atom


The following is a PBE-GGA calculation of crystalline CsBa2SrNi at its relaxed geometry, from the Alexandria database.

a = 6.409 Å, b = 6.409 Å, c = 6.280 Å
α = 90.00°, β = 90.00°, γ = 90.00°
Space group P4/mmm (No. 123)
Symmetry-distinct sites (fractional):
Cs1 0.000 0.000 0.000 x1
Ba1 0.000 0.500 0.500 x2
Sr1 0.500 0.500 0.000 x1
Ni1 0.500 0.500 0.500 x1

## Properties
ΔH_f (0 K) = 0.10 eV per atom


The following is a PBE-GGA calculation of crystalline CsBaTl2Ni at its relaxed geometry, from the Alexandria database.

a = 5.463 Å, b = 5.463 Å, c = 5.757 Å
α = 90.00°, β = 90.00°, γ = 90.00°
Space group P4/mmm (No. 123)
Symmetry-distinct sites (fractional):
Cs1 0.000 0.000 0.000 x1
Ba1 0.500 0.500 0.000 x1
Tl1 0.000 0.500 0.500 x2
Ni1 0.500 0.500 0.500 x1

## Properties
ΔH_f (0 K) = 0.02 eV per atom


The following is a PBE-GGA calculation of crystalline CsBa2NpO6 at its relaxed geometry, from the Alexandria database.

a = 6.366 Å, b = 6.877 Å, c = 11.325 Å
α = 90.00°, β = 123.69°, γ = 90.00°
Space group P2_1/c (No. 14)
Symmetry-distinct sites (fractional):
Cs1 0.000 0.000 0.000 x2
Ba1 0.220 0.019 0.725 x4
Np1 0.500 0.000 0.500 x2
O1 0.213 0.145 0.488 x4
O2 0.237 0.705 0.872 x4
O3 0.448 0.138 0.326 x4

## Properties
Formation energy from raw total energies = -26.5 eV/f.u.


We obtain total magnetization values of 0.459; 0.000; 0.000; 0.000; 0.000; 0.076; 0.000; 0.065; 0.000; 0.000; 0.000; 0.000 μB per atom for the records listed above, in that order.